# CuSi2Sb2

A relaxed structure of CuSi2Sb2 (PBE-GGA, Alexandria).

Summary:
**D(E_F)**: 0.3628 states/eV/atom
**Formation energy (no corrections)**: 0.35 eV/atom
**E_tot**: -4.291 eV per atom
**SG**: I4/mmm, No. 139
**Spin magnetization**: 0.00 μB/f.u.
**ρ**: 5.963 g/cm³

Cell and atoms, written as POSCAR:
```
CuSi2Sb2
1.0
3.441 0.000 0.000
0.000 3.441 0.000
1.721 1.721 8.543
Sb Si Cu
2 2 1
direct
0.405 0.405 0.190
0.595 0.595 0.810
0.750 0.250 0.500
0.250 0.750 0.500
0.000 0.000 0.000
```